MgZrC3 | PBE | optimized geometry

The excess energy over the best structure of this formula in the dataset comes out at 89 kJ/mol of formula units. The calculation puts the total energy at -5.57 eV/atom. Its formation energy is 1.99 eV per atom.

The space group is Pm-3m (No. 221) and the conventional cell measures 3.946, 3.946 and 3.946 Å, with angles of 90.00, 90.00 and 90.00 degrees. The asymmetric unit holds Mg at (0.000, 0.000, 0.000), Zr at (0.500, 0.500, 0.500) and C at (0.000, 0.000, 0.500).